[1]
Density functional theory data (PBE) for a relaxed structure of PrNdFe2Sn4.

Summary:
Magnetization (μB per formula unit): 2.768
Space-group type: Pm
Raw total energy (eV per cell): -44.72
Mass density (g/cm³): 7.6

a = 4.7149 Å, b = 4.6308 Å, c = 9.0700 Å
α = 90.00°, β = 104.99°, γ = 90.00°
Last column: nearest neighbours and their distance in Å.
Fractional coordinates of all 8 atoms:
Pr (0.0000, 0.0000, 0.0000)  3 Fe 3.30-3.52, 9 Sn 3.40-3.50
Nd (0.1292, 0.5000, 0.4396)  3 Fe 3.28-3.50, 9 Sn 3.37-3.49
Fe (0.3182, 0.5000, 0.8392)  5 Sn 2.49-2.65
Fe (0.8149, 0.0000, 0.5988)  5 Sn 2.49-2.65
Sn (0.3586, 0.0000, 0.7195)  4 Fe 2.51-2.65
Sn (0.5606, 0.0000, 0.3221)  1 Fe 2.49
Sn (0.5691, 0.5000, 0.1174)  1 Fe 2.49
Sn (0.7737, 0.5000, 0.7178)  4 Fe 2.52-2.65

[2]
Density functional theory data (PBE) for a relaxed structure of NdFePt.

Summary:
Magnetization (μB per formula unit): 2.939
Energy of formation (eV/atom): -0.15
Space-group type: F-43m
Raw total energy (eV per cell): -19.59
Mass density (g/cm³): 9.1

a = 4.6701 Å, b = 4.6701 Å, c = 4.6701 Å
α = 60.00°, β = 60.00°, γ = 60.00°
Last column: nearest neighbours and their distance in Å.
Fractional coordinates of all 3 atoms:
Nd (0.0000, 0.0000, 0.0000)  4 Pt 2.86
Fe (0.5000, 0.5000, 0.5000)  4 Pt 2.86
Pt (0.7500, 0.7500, 0.7500)  4 Nd 2.86, 4 Fe 2.86

[3]
Density functional theory data (PBE) for a relaxed structure of RbNdFeS3.

Summary:
Magnetization (μB per formula unit): 3.996
Space-group type: Pnma
ΔE to the lowest computed polymorph (eV/f.u.): 0.19
Raw total energy (eV per cell): -136.10
Mass density (g/cm³): 4.3

a = 11.1615 Å, b = 4.2340 Å, c = 12.3353 Å
α = 90.00°, β = 90.00°, γ = 90.00°
Last column: nearest neighbours and their distance in Å.
Fractional coordinates of all 24 atoms:
Rb (0.1643, 0.2500, 0.0075)  7 S 3.29-3.40, 3 Fe 3.57-3.61
Rb (0.3357, 0.7500, 0.5075)  7 S 3.29-3.40, 3 Fe 3.57-3.61
Rb (0.6643, 0.2500, 0.4925)  7 S 3.29-3.40, 3 Fe 3.57-3.61
Rb (0.8357, 0.7500, 0.9925)  7 S 3.29-3.40, 3 Fe 3.57-3.61
Nd (0.0218, 0.2500, 0.6680)  7 S 2.86-3.03
Nd (0.4782, 0.7500, 0.1680)  7 S 2.86-3.03
Nd (0.5218, 0.2500, 0.8320)  7 S 2.86-3.03
Nd (0.9782, 0.7500, 0.3320)  7 S 2.86-3.03
Fe (0.2385, 0.2500, 0.2921)  4 S 2.27-2.37
Fe (0.2615, 0.7500, 0.7921)  4 S 2.27-2.37
Fe (0.7385, 0.2500, 0.2079)  4 S 2.27-2.37
Fe (0.7615, 0.7500, 0.7079)  4 S 2.27-2.37
S (0.0601, 0.7500, 0.8200)  1 Fe 2.27
S (0.1097, 0.2500, 0.4403)  1 Fe 2.33
S (0.2108, 0.7500, 0.2097)  2 Fe 2.37
S (0.2892, 0.2500, 0.7097)  2 Fe 2.37
S (0.3903, 0.7500, 0.9403)  1 Fe 2.33
S (0.4399, 0.2500, 0.3200)  1 Fe 2.27
S (0.5601, 0.7500, 0.6800)  1 Fe 2.27
S (0.6097, 0.2500, 0.0597)  1 Fe 2.33
S (0.7108, 0.7500, 0.2903)  2 Fe 2.37
S (0.7892, 0.2500, 0.7903)  2 Fe 2.37
S (0.8903, 0.7500, 0.5597)  1 Fe 2.33
S (0.9399, 0.2500, 0.1800)  1 Fe 2.27

[4]
Density functional theory data (PBE) for a relaxed structure of RbNdFeS3.

Summary:
Magnetization (μB per formula unit): 3.994
Space-group type: Cmcm
ΔE to the lowest computed polymorph (eV/f.u.): 0.00
Raw total energy (eV per cell): -68.42
Mass density (g/cm³): 3.9

a = 7.6488 Å, b = 7.6488 Å, c = 10.8291 Å
α = 90.00°, β = 90.00°, γ = 149.01°
Last column: nearest neighbours and their distance in Å.
Fractional coordinates of all 12 atoms:
Rb (0.2415, 0.7585, 0.7500)  6 S 3.41-3.44
Rb (0.7585, 0.2415, 0.2500)  6 S 3.41-3.44
Nd (0.5000, 0.5000, 0.0000)  6 S 2.83
Nd (0.5000, 0.5000, 0.5000)  6 S 2.83
Fe (0.0315, 0.9685, 0.2500)  4 S 2.29-2.42
Fe (0.9685, 0.0315, 0.7500)  4 S 2.29-2.42
S (0.1202, 0.8798, 0.0764)  1 Fe 2.29
S (0.1202, 0.8798, 0.4236)  1 Fe 2.29
S (0.4439, 0.5561, 0.2500)  2 Fe 2.42
S (0.5561, 0.4439, 0.7500)  2 Fe 2.42
S (0.8798, 0.1202, 0.5764)  1 Fe 2.29
S (0.8798, 0.1202, 0.9236)  1 Fe 2.29